Entry 1:
Crystalline La2YHo2Mg5 at its relaxed geometry, computed with PBE-GGA.

## Properties
- Uncorrected energy: -66.9 eV for the cell shown

Structure (POSCAR):
```
La2YHo2Mg5
1.0
10.6524 0.0000 0.0000
0.0000 10.6524 0.0000
0.0000 0.0000 5.1010
La Y Ho Mg
4 2 4 10
Direct
0.1754 0.3246 0.0000
0.3246 0.8246 0.0000
0.6754 0.1754 0.0000
0.8246 0.6754 0.0000
0.0000 0.0000 0.0000
0.5000 0.5000 0.0000
0.1207 0.6207 0.0000
0.3793 0.1207 0.0000
0.6207 0.8793 0.0000
0.8793 0.3793 0.0000
0.0000 0.5000 0.5000
0.0703 0.8013 0.5000
0.1987 0.0703 0.5000
0.3013 0.5703 0.5000
0.4297 0.3013 0.5000
0.5000 0.0000 0.5000
0.5703 0.6987 0.5000
0.6987 0.4297 0.5000
0.8013 0.9297 0.5000
0.9297 0.1987 0.5000
```

=====

Entry 2:
Crystalline Sr2MgZn at its relaxed geometry, computed with PBE-GGA.

## Properties
- E above lowest polymorph: 14.6 kJ/mol of formula units

Structure (POSCAR):
```
Sr2MgZn
1.0
-1.9237 2.9008 5.9395
1.9237 -2.9008 5.9395
1.9237 2.9008 -5.9395
Sr Mg Zn
2 1 1
Direct
0.0000 0.0000 0.0000
0.6982 0.1982 0.5000
0.4100 0.4100 0.0000
0.2315 0.7315 0.5000
```

=====

Entry 3:
Crystalline In4SbRu at its relaxed geometry, computed with PBE-GGA.

## Properties
- Energy relative to the elements, uncorrected: 0.645 eV/atom

Structure (POSCAR):
```
In4SbRu
1.0
0.0000 4.1890 4.1890
4.1890 0.0000 4.1890
4.1890 4.1890 0.0000
In Sb Ru
4 1 1
Direct
0.1245 0.1245 0.1245
0.1245 0.1245 0.6266
0.1245 0.6266 0.1245
0.6266 0.1245 0.1245
0.5000 0.5000 0.5000
0.7500 0.7500 0.7500
```

=====

Entry 4:
Crystalline LiAlAg at its relaxed geometry, computed with PBE-GGA.

## Properties
- E above lowest polymorph: 9.2 kJ/mol of formula units

Structure (POSCAR):
```
LiAlAg
1.0
-1.6452 1.6452 4.3601
1.6452 -1.6452 4.3601
1.6452 1.6452 -4.3601
Li Al Ag
1 1 1
Direct
0.0000 0.0000 0.0000
0.3336 0.3336 0.0000
0.6604 0.6604 0.0000
```

=====

Entry 5:
Crystalline NpHgBi at its relaxed geometry, computed with PBE-GGA.

## Properties
- E above lowest polymorph: 50.8 kJ/mol of formula units

Structure (POSCAR):
```
NpHgBi
1.0
0.0000 3.6768 3.6768
3.6768 0.0000 3.6768
3.6768 3.6768 0.0000
Np Hg Bi
1 1 1
Direct
0.0000 0.0000 0.0000
0.2500 0.2500 0.2500
0.7500 0.7500 0.7500
```

=====

Entry 6:
Crystalline Nd6DyTh3 at its relaxed geometry, computed with PBE-GGA.

## Properties
- Uncorrected energy: -108.3 eV for the cell shown

Structure (POSCAR):
```
Nd6DyTh3
1.0
3.5367 0.0000 0.0000
0.0036 13.5242 0.0000
0.0187 1.2771 14.3697
Nd Dy Th
12 2 6
Direct
0.2479 0.1186 0.4820
0.2503 0.5341 0.3003
0.2502 0.5566 0.8994
0.2500 0.7069 0.6874
0.2499 0.9300 0.1010
0.2520 0.2234 0.7143
0.7480 0.7766 0.2857
0.7501 0.0700 0.8990
0.7500 0.2931 0.3126
0.7498 0.4434 0.1006
0.7497 0.4659 0.6997
0.7521 0.8814 0.5180
0.2499 0.1904 0.1107
0.7501 0.8096 0.8893
0.2494 0.6835 0.0880
0.2500 0.3836 0.5100
0.2511 0.9654 0.7125
0.7489 0.0346 0.2875
0.7500 0.6164 0.4900
0.7506 0.3165 0.9120
```

=====

What are the magnetization values for these records? In order: 0.00; 0.00; 0.29; 0.00; 1.33; 0.00 μB/atom.
What are the ρ values for these records? In order: 4.7; 3.3; 7.7; 5.0; 10.8; 8.3 g/cm3.